Entry from Alexandria: an optimized crystal structure of BeVSb2I (PBE).

abc: 4.8068 4.8068 5.4549
angles: 90.00 90.00 90.00
Space group P4/mmm (No. 123)
One atom of each set of equivalent atoms:
Be  0.0000  0.0000  0.0000 [1 per cell]
V  0.5000  0.5000  0.5000 [1 per cell]
Sb  0.0000  0.5000  0.0000 [2 per cell]
I  0.0000  0.0000  0.5000 [1 per cell]

Formation energy (no corrections), kJ per mole of atoms: 76.2
Calculated total energy, eV/atom: -3.738
D(E_F), states/eV per cell: 4.63
Energy relative to the lowest polymorph listed for this composition, meV/atom: 0
M_tot, μB/cell: 3.29